# 1
A geometry-optimized K2Nb2S5 structure. Source: OQMD via LeMat-Bulk, functional PBE.

Cell and atoms, written as POSCAR:
```
K2Nb2S5
1.0
5.088 -3.835 0.000
5.088 3.835 0.000
-3.544 0.000 11.406
K Nb S
4 4 10
Direct
0.046 0.372 0.312 K
0.372 0.046 0.812 K
0.628 0.954 0.188 K
0.954 0.628 0.688 K
0.211 0.574 0.046 Nb
0.426 0.789 0.454 Nb
0.574 0.211 0.546 Nb
0.789 0.426 0.954 Nb
0.152 0.218 0.034 S
0.211 0.789 0.250 S
0.218 0.152 0.534 S
0.361 0.574 0.883 S
0.426 0.639 0.617 S
0.574 0.361 0.383 S
0.639 0.426 0.117 S
0.782 0.848 0.466 S
0.789 0.211 0.750 S
0.848 0.782 0.966 S
```

Summary:
- Volume: 223 Å³/f.u.
- ρ: 3.2 g/cm³
- SG: C2/c, No. 15
- Uncorrected energy: -105.170 eV for the cell shown

=====

# 2
A geometry-optimized K4Nb2S11 structure. Source: OQMD via LeMat-Bulk, functional PBE.

Cell and atoms, written as POSCAR:
```
K4Nb2S11
1.0
13.314 0.000 0.000
0.000 7.520 0.000
0.000 0.000 18.083
K Nb S
16 8 44
Direct
0.042 0.209 0.000 K
0.088 0.181 0.702 K
0.218 0.804 0.852 K
0.228 0.656 0.104 K
0.272 0.656 0.604 K
0.282 0.804 0.352 K
0.412 0.181 0.202 K
0.458 0.209 0.500 K
0.542 0.791 0.000 K
0.588 0.819 0.702 K
0.718 0.196 0.852 K
0.728 0.344 0.104 K
0.772 0.344 0.604 K
0.782 0.196 0.352 K
0.912 0.819 0.202 K
0.958 0.791 0.500 K
0.059 0.261 0.258 Nb
0.118 0.206 0.446 Nb
0.382 0.206 0.946 Nb
0.441 0.261 0.758 Nb
0.559 0.739 0.258 Nb
0.618 0.794 0.446 Nb
0.882 0.794 0.946 Nb
0.941 0.739 0.758 Nb
0.016 0.470 0.360 S
0.019 0.027 0.353 S
0.050 0.756 0.999 S
0.057 0.405 0.550 S
0.087 0.748 0.695 S
0.096 0.581 0.273 S
0.160 0.017 0.205 S
0.179 0.258 0.151 S
0.185 0.978 0.510 S
0.240 0.235 0.341 S
0.240 0.414 0.928 S
0.260 0.235 0.841 S
0.260 0.414 0.428 S
0.315 0.978 0.010 S
0.321 0.258 0.651 S
0.340 0.017 0.705 S
0.404 0.581 0.773 S
0.413 0.748 0.195 S
0.443 0.405 0.050 S
0.450 0.756 0.499 S
0.481 0.027 0.853 S
0.484 0.470 0.860 S
0.516 0.530 0.360 S
0.519 0.973 0.353 S
0.550 0.244 0.999 S
0.557 0.595 0.550 S
0.587 0.252 0.695 S
0.596 0.419 0.273 S
0.660 0.983 0.205 S
0.679 0.742 0.151 S
0.685 0.022 0.510 S
0.740 0.586 0.928 S
0.740 0.765 0.341 S
0.760 0.586 0.428 S
0.760 0.765 0.841 S
0.815 0.022 0.010 S
0.821 0.742 0.651 S
0.840 0.983 0.705 S
0.904 0.419 0.773 S
0.913 0.252 0.195 S
0.943 0.595 0.050 S
0.950 0.244 0.499 S
0.981 0.973 0.853 S
0.984 0.530 0.860 S
```

Summary:
- Volume: 453 Å³/f.u.
- ρ: 2.5 g/cm³
- SG: Pca2_1, No. 29
- Uncorrected energy: -341.161 eV for the cell shown

=====

# 3
A geometry-optimized KNb3S5 structure. Source: OQMD via LeMat-Bulk, functional PBE.

Cell and atoms, written as POSCAR:
```
KNb3S5
1.0
5.712 0.000 0.000
-2.856 4.947 0.000
0.000 0.000 7.374
K Nb S
1 3 5
Direct
0.000 0.000 0.000 K
0.000 0.500 0.500 Nb
0.500 0.000 0.500 Nb
0.500 0.500 0.500 Nb
0.000 0.000 0.500 S
0.333 0.667 0.243 S
0.333 0.667 0.757 S
0.667 0.333 0.243 S
0.667 0.333 0.757 S
```

Summary:
- Volume: 208 Å³/f.u.
- ρ: 3.8 g/cm³
- SG: P6/mmm, No. 191
- Uncorrected energy: -59.632 eV for the cell shown

=====

> What is the ρ in the first record?

3.2 g/cm³

=====

> Which value of ρ does entry 1 give?

3.2 g/cm³

=====

> The lowest ρ belongs to which entry?

K4Nb2S11

=====

> Which of these has the highest volume?

K4Nb2S11